Arrangement a

The following is a PBE calculation of a relaxed structure of Tb3Ga3Ni2Ge, from OQMD. Values from VASP.

Results
- Crystal system: hexagonal

```
&SYSTEM
  ibrav = 0, nat = 9, ntyp = 4
/
ATOMIC_SPECIES
Tb 158.93 Tb.upf
Ni 58.69 Ni.upf
Ga 69.72 Ga.upf
Ge 72.64 Ge.upf
ATOMIC_POSITIONS crystal
Tb 0.000 0.306 0.000
Tb 0.694 0.694 0.000
Tb 0.306 0.000 0.000
Ni 0.333 0.667 0.000
Ni 0.667 0.333 0.000
Ga 0.377 0.377 0.500
Ga 0.000 0.623 0.500
Ga 0.623 0.000 0.500
Ge 0.000 0.000 0.500
CELL_PARAMETERS angstrom
7.858 0.000 0.000
-3.929 6.806 0.000
0.000 0.000 3.336
```



Arrangement b

The following is a PBE calculation of a relaxed structure of Tb3Ga3Ni2Ge, from OQMD. Values from VASP.

Results
- Crystal system: hexagonal

```
&SYSTEM
  ibrav = 0, nat = 9, ntyp = 4
/
ATOMIC_SPECIES
Ga 69.72 Ga.upf
Tb 158.93 Tb.upf
Ge 72.64 Ge.upf
Ni 58.69 Ni.upf
ATOMIC_POSITIONS crystal
Ga 0.277 0.000 0.500
Ga 0.723 0.723 0.500
Ga 0.000 0.277 0.500
Tb 0.601 0.000 0.000
Tb 0.399 0.399 0.000
Tb 0.000 0.601 0.000
Ge 0.000 0.000 0.000
Ni 0.333 0.667 0.500
Ni 0.667 0.333 0.500
CELL_PARAMETERS angstrom
-5.466 -1.391 4.592
6.812 -1.802 1.803
0.475 3.388 1.592
```



Which one sits at the top of the stability order? arrangement b does.



Arrangement a

The following is a PBE calculation of a relaxed structure of Y3Ga3GePd2, from OQMD. Values from VASP.

Results
- Crystal system: hexagonal

```
&SYSTEM
  ibrav = 0, nat = 9, ntyp = 4
/
ATOMIC_SPECIES
Y 88.91 Y.upf
Ga 69.72 Ga.upf
Ge 72.64 Ge.upf
Pd 106.42 Pd.upf
ATOMIC_POSITIONS crystal
Y 0.281 0.281 0.500
Y 0.719 0.000 0.500
Y 0.000 0.719 0.500
Ga 0.000 0.402 0.000
Ga 0.598 0.598 0.000
Ga 0.402 0.000 0.000
Ge 0.000 0.000 0.000
Pd 0.667 0.333 0.500
Pd 0.333 0.667 0.500
CELL_PARAMETERS angstrom
7.647 0.000 0.000
-3.824 6.623 0.000
0.000 0.000 3.892
```



Arrangement b

The following is a PBE calculation of a relaxed structure of Y3Ga3GePd2, from OQMD. Values from VASP.

Results
- Crystal system: hexagonal

```
&SYSTEM
  ibrav = 0, nat = 9, ntyp = 4
/
ATOMIC_SPECIES
Ga 69.72 Ga.upf
Y 88.91 Y.upf
Pd 106.42 Pd.upf
Ge 72.64 Ge.upf
ATOMIC_POSITIONS crystal
Ga 0.000 0.729 0.000
Ga 0.271 0.271 0.000
Ga 0.729 0.000 0.000
Y 0.000 0.395 0.500
Y 0.395 0.000 0.500
Y 0.605 0.605 0.500
Pd 0.333 0.667 0.000
Pd 0.667 0.333 0.000
Ge 0.000 0.000 0.500
CELL_PARAMETERS angstrom
-7.002 -1.848 -1.802
2.427 -0.948 6.993
-1.150 3.507 0.875
```



Which one sits at the top of the stability order? arrangement b does.



Arrangement a

The following is a PBE calculation of a relaxed structure of SmGaGePt2, from OQMD. Values from VASP.

Results
- Crystal system: tetragonal

```
&SYSTEM
  ibrav = 0, nat = 10, ntyp = 4
/
ATOMIC_SPECIES
Sm 150.36 Sm.upf
Pt 195.08 Pt.upf
Ge 72.64 Ge.upf
Ga 69.72 Ga.upf
ATOMIC_POSITIONS crystal
Sm 0.500 0.000 0.252
Sm 0.000 0.500 0.748
Pt 0.500 0.000 0.633
Pt 0.000 0.500 0.367
Pt 0.500 0.500 0.000
Pt 0.000 0.000 0.000
Ge 0.000 0.500 0.131
Ge 0.500 0.000 0.869
Ga 0.500 0.500 0.500
Ga 0.000 0.000 0.500
CELL_PARAMETERS angstrom
-3.863 -1.775 0.717
1.904 -3.731 1.021
0.478 2.938 9.847
```



Arrangement b

The following is a PBE calculation of a relaxed structure of SmGaGePt2, from OQMD. Values from VASP.

Results
- Crystal system: tetragonal

```
&SYSTEM
  ibrav = 0, nat = 10, ntyp = 4
/
ATOMIC_SPECIES
Ga 69.72 Ga.upf
Pt 195.08 Pt.upf
Ge 72.64 Ge.upf
Sm 150.36 Sm.upf
ATOMIC_POSITIONS crystal
Ga 0.000 0.500 0.131
Ga 0.500 0.000 0.869
Pt 0.000 0.500 0.375
Pt 0.500 0.000 0.625
Pt 0.000 0.000 0.000
Pt 0.500 0.500 0.000
Ge 0.000 0.000 0.500
Ge 0.500 0.500 0.500
Sm 0.500 0.000 0.252
Sm 0.000 0.500 0.748
CELL_PARAMETERS angstrom
-2.164 -2.588 2.762
3.780 -1.318 1.727
-0.441 7.548 6.727
```



Which one sits at the top of the stability order? arrangement a does.